(1)
Below is crystalline Y2TePb at its relaxed geometry, with properties calculated at the PBE-GGA level.

Structure (POSCAR):
```
Y2TePb
1.0
-0.189 0.752 -5.420
-0.050 -4.320 -3.363
-4.547 -1.253 -2.780
Pb Te Y
1 1 2
Direct
0.500 0.500 0.500 Pb
0.750 0.750 0.750 Te
0.000 0.000 0.000 Y
0.250 0.250 0.250 Y
```

Values from the calculation:
ΔE_f (raw), kJ/mol of formula units: -69
Polymorph energy (0 for the lowest one), meV/atom: 810
Total energy, eV per atom: -5.123
Crystal system: cubic
Total magnetization, μB per formula unit: 0.00

=====

(2)
Below is crystalline YbTe4Pb3 at its relaxed geometry, with properties calculated at the PBE-GGA level.

Structure (POSCAR):
```
YbTe4Pb3
1.0
-4.909 3.093 5.490
-7.397 2.520 1.654
-3.074 -6.735 3.000
Yb Te Pb
1 4 3
Direct
0.000 0.000 0.000 Yb
0.621 0.621 0.120 Te
0.877 0.877 0.368 Te
0.123 0.123 0.632 Te
0.379 0.379 0.880 Te
0.250 0.250 0.248 Pb
0.500 0.500 0.500 Pb
0.750 0.750 0.752 Pb
```

Values from the calculation:
ΔE_f (raw), kJ/mol of formula units: -535
Total energy, eV per atom: -3.846
Crystal system: monoclinic
Total magnetization, μB per formula unit: 0.23